ErTlCo2Cl8 | PBE | optimized geometry

Lattice parameters (Å, degrees): 6.4162 6.4162 10.2644 71.79 71.79 60.00
Fractional coordinates of all 12 atoms:
Cl  0.6159  0.2792  0.1626
Cl  0.2792  0.9423  0.1626
Co  0.2535  0.2535  0.2396
Tl  0.5000  0.5000  0.5000
Cl  0.3841  0.7208  0.8374
Cl  0.9423  0.6159  0.1626
Cl  0.8227  0.8227  0.5319
Cl  0.7208  0.0577  0.8374
Co  0.7465  0.7465  0.7604
Cl  0.0577  0.3841  0.8374
Er  0.0000  0.0000  0.0000
Cl  0.1773  0.1773  0.4681

Computed properties:
energy relative to the elements, uncorrected	-1.173	eV per atom
magnetic moment	6.0	μB/f.u.
energy	-4.1654	eV per atom
space group	R-3, No. 148
crystal system	trigonal